i) Entry from Alexandria via LeMat-Bulk: crystalline PmAs2Pd6 at its relaxed geometry (PBE-GGA).

Unit cell a=4.218 b=4.218 c=8.838 alpha=90.00 beta=90.00 gamma=90.00
Space group P4/mmm (No. 123)
Inequivalent atoms, fractional coordinates:
Pm 0.000 0.000 0.000 [1 per cell]
As 0.500 0.500 0.142 [2 per cell]
Pd 0.000 0.000 0.500 [1 per cell]
Pd 0.000 0.500 0.287 [4 per cell]
Pd 0.500 0.500 0.500 [1 per cell]

***

ii) Entry from Alexandria via LeMat-Bulk: crystalline PmAs2Pd6 at its relaxed geometry (PBE-GGA).

Unit cell a=5.6290 b=5.6290 c=6.5653 alpha=90.00 beta=90.00 gamma=120.00
Space group P6/mmm (No. 191)
Inequivalent atoms, fractional coordinates:
Pm 0.0000 0.0000 0.0000 [1 per cell]
As 0.3333 0.6667 0.5000 [2 per cell]
Pd 0.0000 0.5000 0.2109 [6 per cell]

***

Q: Which of them is the most stable? A: i).

***

i) Entry from Alexandria via LeMat-Bulk: crystalline PmAs2Pd3 at its relaxed geometry (PBE-GGA).

Unit cell a=15.643 b=4.274 c=7.528 alpha=90.00 beta=117.33 gamma=90.00
Space group C2/m (No. 12)
Inequivalent atoms, fractional coordinates:
Pm 0.149 0.000 0.069 [4 per cell]
As 0.013 0.500 0.178 [4 per cell]
As 0.197 0.000 0.724 [4 per cell]
Pd 0.051 0.000 0.377 [4 per cell]
Pd 0.105 0.500 0.683 [4 per cell]
Pd 0.187 0.500 0.415 [4 per cell]

***

ii) Entry from Alexandria via LeMat-Bulk: crystalline PmAs2Pd3 at its relaxed geometry (PBE-GGA).

Unit cell a=16.785 b=4.127 c=10.095 alpha=90.00 beta=107.84 gamma=90.00
Space group C2/m (No. 12)
Inequivalent atoms, fractional coordinates:
Pm 0.000 0.000 0.000 [2 per cell]
Pm 0.153 0.000 0.699 [4 per cell]
As 0.038 0.500 0.789 [4 per cell]
As 0.136 0.500 0.454 [4 per cell]
As 0.200 0.000 0.131 [4 per cell]
Pd 0.000 0.500 0.500 [2 per cell]
Pd 0.043 0.000 0.333 [4 per cell]
Pd 0.124 0.500 0.201 [4 per cell]
Pd 0.180 0.500 0.967 [4 per cell]
Pd 0.221 0.000 0.391 [4 per cell]

***

Q: Which of them is the most stable? A: ii).